# RbCoSn2F

A geometry-optimized RbCoSn2F structure (GGA+U, Alexandria via LeMat-Bulk).

Output
calculated volume = 174.3 Å³ per cell
final energy = -17.369 eV for the cell shown
M_tot = 0.1980 μB/atom
calculated density = 3.8 g/cm3

extended XYZ file:
```
5
Lattice="4.762 0.000 0.000 0.000 4.762 0.000 0.000 0.000 7.688" Properties=species:S:1:pos:R:3 pbc="T T T"
Rb 0.000 0.000 0.000
Co 2.381 2.381 3.844
Sn 0.000 2.381 3.844
Sn 2.381 0.000 3.844
F 2.381 2.381 0.000
```